1.
Here is an optimized crystal structure of SiMoSe2 from Alexandria via LeMat-Bulk. Energies are from PBE.

Cell: 4.6583 4.6583 4.6583 Å, 110.84 110.84 106.76°
Last column: nearest neighbours and their distance in Å.
Fractional coordinates of all 4 atoms:
Si  0.0000  0.0000  0.0000  4 Se 2.64, 2 Mo 2.78
Mo  0.5000  0.5000  0.0000  4 Se 2.64, 2 Si 2.78
Se  0.0000  0.5000  0.5000  2 Mo 2.64, 2 Si 2.64, 2 Se 2.78
Se  0.5000  0.0000  0.5000  2 Mo 2.64, 2 Si 2.64, 2 Se 2.78

Calculated values
N(E_F)   3.1 states/eV/cell
Space group   I4/mmm (139)
Formation energy (no corrections)   1.71 eV per formula unit

=====

2.
Here is an optimized crystal structure of KSbTe from Alexandria via LeMat-Bulk. Energies are from PBE.

Cell: 6.8390 6.8390 6.8390 Å, 143.83 143.83 52.07°
Last column: nearest neighbours and their distance in Å.
Fractional coordinates of all 3 atoms:
K  0.0000  0.0000  0.0000  1 Sb 3.48, 1 Te 3.50
Sb  0.2835  0.2835  0.0000  4 Te 3.12, 1 K 3.48
Te  0.7152  0.7152  0.0000  4 Sb 3.12

Calculated values
N(E_F)   0.3 states/eV/cell
Space group   I4mm (107)
Distance to the lowest polymorph of the same formula   69 meV per atom
Formation energy (no corrections)   -1.17 eV per formula unit

=====

3.
Here is an optimized crystal structure of Fe2Co2Au from Alexandria via LeMat-Bulk. Energies are from PBE.

Cell: 5.9601 5.9601 5.9601 Å, 146.76 146.76 47.71°
Last column: nearest neighbours and their distance in Å.
Fractional coordinates of all 5 atoms:
Fe  0.2500  0.7500  0.5000  4 Co 2.33, 4 Fe 2.41
Fe  0.7500  0.2500  0.5000  4 Co 2.33, 4 Fe 2.41
Co  0.1045  0.1045  0.0000  1 Co 2.28, 4 Fe 2.33
Co  0.8955  0.8955  0.0000  1 Co 2.28, 4 Fe 2.33
Au  0.5000  0.5000  0.0000  8 Co 2.67

Calculated values
N(E_F)   8.8 states/eV/cell
Space group   I4/mmm (139)
DFT formation energy   0.54 eV per atom
Distance to the lowest polymorph of the same formula   401 meV per atom

=====

4.
Here is an optimized crystal structure of Mg2ScHg from Alexandria via LeMat-Bulk. Energies are from PBE.

Cell: 5.0845 5.0845 7.6323 Å, 109.38 109.38 90.01°
Last column: nearest neighbours and their distance in Å.
Fractional coordinates of all 8 atoms:
Mg  0.0000  0.5000  0.0000  4 Mg 3.07, 4 Sc 3.11-3.12, 2 Hg 3.37
Mg  0.1273  0.1273  0.2561  4 Hg 3.02-3.03, 4 Mg 3.07, 1 Sc 3.21
Mg  0.5000  0.0000  0.0000  4 Mg 3.07, 4 Sc 3.11-3.12, 2 Hg 3.37
Mg  0.8727  0.8727  0.7439  4 Hg 3.02-3.03, 4 Mg 3.07, 1 Sc 3.21
Sc  0.3661  0.3661  0.7323  4 Hg 2.98-2.99, 5 Mg 3.11-3.21
Sc  0.6339  0.6339  0.2677  4 Hg 2.98-2.99, 5 Mg 3.11-3.21
Hg  0.2503  0.7497  0.5000  4 Sc 2.98-2.99, 4 Mg 3.02-3.03
Hg  0.7497  0.2503  0.5000  4 Sc 2.98-2.99, 4 Mg 3.02-3.03

Calculated values
N(E_F)   2.7 states/eV/cell
Space group   C2/m (12)
DFT formation energy   -0.22 eV per atom

=====

5.
Here is an optimized crystal structure of AcAl9Os2 from Alexandria via LeMat-Bulk. Energies are from PBE.

Cell: 8.2158 8.2158 3.9840 Å, 90.00 90.00 120.00°
Last column: nearest neighbours and their distance in Å.
Fractional coordinates of all 12 atoms:
Ac  0.0000  0.0000  0.0000  12 Al 3.60, 2 Ac 3.98
Al  0.0000  0.5000  0.0000  2 Os 2.37
Al  0.2109  0.4218  0.5000  2 Os 2.65, 4 Al 2.91
Al  0.2109  0.7891  0.5000  2 Os 2.65, 4 Al 2.91
Al  0.4218  0.2109  0.5000  2 Os 2.65, 4 Al 2.91
Al  0.5000  0.0000  0.0000  2 Os 2.37
Al  0.5000  0.5000  0.0000  2 Os 2.37
Al  0.5782  0.7891  0.5000  2 Os 2.65, 4 Al 2.91
Al  0.7891  0.2109  0.5000  2 Os 2.65, 4 Al 2.91
Al  0.7891  0.5782  0.5000  2 Os 2.65, 4 Al 2.91
Os  0.3333  0.6667  0.0000  9 Al 2.37-2.65
Os  0.6667  0.3333  0.0000  9 Al 2.37-2.65

Calculated values
N(E_F)   5.2 states/eV/cell
Space group   P6/mmm (191)
DFT formation energy   -0.38 eV per atom

=====

6.
Here is an optimized crystal structure of LiTbZnGe2 from Alexandria via LeMat-Bulk. Energies are from PBE.

Cell: 6.2643 6.2643 6.2643 Å, 141.89 141.89 54.99°
Last column: nearest neighbours and their distance in Å.
Fractional coordinates of all 5 atoms:
Li  0.0000  0.0000  0.0000  4 Ge 2.56
Tb  0.2500  0.7500  0.5000  8 Ge 3.15, 4 Zn 3.45, 4 Li 3.45
Zn  0.5000  0.5000  0.0000  4 Ge 2.56
Ge  0.6379  0.1379  0.5000  1 Ge 2.49, 2 Li 2.56, 2 Zn 2.56
Ge  0.8621  0.3621  0.5000  1 Ge 2.49, 2 Li 2.56, 2 Zn 2.56

Calculated values
N(E_F)   2.9 states/eV/cell
Space group   I-4m2 (119)
DFT formation energy   -0.51 eV per atom

=====

| no. | raw total energy (eV per atom) |
| --- | --- |
| 1 | -5.38 |
| 2 | -3.18 |
| 3 | -6.34 |
| 4 | -2.68 |
| 5 | -5.40 |
| 6 | -3.92 |